[1]
An optimized crystal structure of CaNbMoO6. Source: Alexandria via LeMat-Bulk, functional PBE+U.

The structure in extended XYZ format:
```
18
Lattice="4.952 0.000 0.000 0.000 4.952 0.000 0.000 0.000 9.577" Properties=species:S:1:pos:R:3 pbc="T T T"
Ca 0.000 0.000 0.000
Ca 2.476 2.476 4.789
Nb 0.000 0.000 3.170
Nb 2.476 2.476 7.958
Mo 0.000 0.000 6.424
Mo 2.476 2.476 1.636
O 0.865 0.865 4.798
O 1.040 1.040 1.820
O 1.039 1.039 7.704
O 1.438 3.515 2.915
O 1.436 3.516 6.609
O 1.611 3.341 0.010
O 3.341 1.611 0.010
O 3.515 1.438 2.915
O 3.516 1.436 6.609
O 3.912 3.912 1.820
O 3.914 3.914 7.704
O 4.087 4.087 4.798
```

Spin magnetization   2.0 μB/cell
E_tot   -7.755 eV per atom

[2]
An optimized crystal structure of Ca2Nb2MoO8. Source: Alexandria via LeMat-Bulk, functional PBE+U.

The structure in extended XYZ format:
```
26
Lattice="9.626 -3.149 0.000 9.626 3.149 0.000 -0.256 0.000 5.605" Properties=species:S:1:pos:R:3 pbc="T T T"
Ca 3.935 1.187 1.344
Ca 3.807 -1.187 4.146
Ca 15.189 1.187 1.459
Ca 15.061 -1.187 4.262
Nb 7.383 0.932 1.309
Nb 11.741 0.932 1.494
Nb 7.255 -0.932 4.111
Nb 11.613 -0.932 4.296
Mo 9.434 2.295 4.204
Mo 9.562 -2.295 1.401
O 3.374 0.924 4.723
O 8.440 2.311 2.270
O 10.684 2.311 0.533
O 6.041 0.365 2.799
O 8.064 0.820 5.063
O 3.502 -0.924 1.920
O 5.913 -0.365 5.601
O 10.804 0.820 3.345
O 8.192 -0.820 2.261
O 13.083 0.365 0.004
O 15.494 0.924 3.685
O 10.932 -0.820 0.542
O 12.955 -0.365 2.806
O 8.312 -2.311 5.072
O 10.556 -2.311 3.335
O 15.623 -0.924 0.882
```

Spin magnetization   8.1 μB/cell
E_tot   -7.945 eV per atom